a:
CrNiOs | PBE | relaxed

abc: 5.5559 5.5559 5.5559
angles: 90.00 90.00 90.00
With the nearest neighbours (Å) after each atom.
Space group F-43m (No. 216)
Unique sites:
Cr  0.0000  0.0000  0.0000 [4 per cell]  4 Ni 2.41, 4 Os 2.41
Ni  0.2500  0.2500  0.7500 [4 per cell]  4 Cr 2.41
Os  0.2500  0.2500  0.2500 [4 per cell]  4 Cr 2.41

---

b:
CrNiOs | PBE | relaxed

abc: 4.1628 7.8306 4.7478
angles: 90.00 90.00 90.00
With the nearest neighbours (Å) after each atom.
Space group Cmcm (No. 63)
Unique sites:
Cr  0.0000  0.2166  0.2500 [4 per cell]  5 Os 2.49-2.54, 2 Ni 2.52
Ni  0.0000  0.5000  0.0000 [4 per cell]  2 Ni 2.37, 2 Cr 2.52, 4 Os 2.54
Os  0.0000  0.1082  0.7500 [4 per cell]  5 Cr 2.49-2.54, 4 Ni 2.54

---

Last place for stability: a

---

a:
CrNiOs | PBE | relaxed

abc: 3.5750 11.3853 3.6810
angles: 90.00 90.00 90.00
With the nearest neighbours (Å) after each atom.
Space group Cmcm (No. 63)
Unique sites:
Cr  0.0000  0.0854  0.2500 [4 per cell]  6 Os 2.57-2.66, 4 Ni 2.59-2.63, 2 Cr 2.68
Ni  0.0000  0.2504  0.7500 [4 per cell]  4 Ni 2.57, 4 Os 2.58-2.61, 4 Cr 2.59-2.63
Os  0.0000  0.4128  0.2500 [4 per cell]  6 Cr 2.57-2.66, 4 Ni 2.58-2.61, 2 Os 2.71

---

b:
CrNiOs | PBE | relaxed

abc: 2.6447 2.6447 10.7367
angles: 90.00 90.00 90.00
With the nearest neighbours (Å) after each atom.
Space group I4mm (No. 107)
Unique sites:
Cr  0.0000  0.0000  0.0000 [2 per cell]  4 Ni 2.55, 4 Os 2.56, 4 Cr 2.64
Ni  0.0000  0.0000  0.3383 [2 per cell]  4 Cr 2.55, 4 Ni 2.64, 4 Os 2.66
Os  0.0000  0.0000  0.6622 [2 per cell]  4 Cr 2.56, 4 Os 2.64, 4 Ni 2.66

---

Last place for stability: b

---

a:
CrNiOs | PBE | relaxed

abc: 2.5642 3.7620 7.7192
angles: 90.00 90.00 90.00
With the nearest neighbours (Å) after each atom.
Space group Imm2 (No. 44)
Unique sites:
Cr  0.0000  0.0000  0.0000 [2 per cell]  2 Cr 2.56, 5 Os 2.57-2.62, 5 Ni 2.58-2.61
Ni  0.0000  0.0000  0.3336 [2 per cell]  2 Ni 2.56, 5 Cr 2.58-2.61, 5 Os 2.58-2.61
Os  0.0000  0.0000  0.6675 [2 per cell]  2 Os 2.56, 5 Cr 2.57-2.62, 5 Ni 2.58-2.61

---

b:
CrNiOs | PBE | relaxed

abc: 4.0987 4.0987 2.5545
angles: 90.00 90.00 120.00
With the nearest neighbours (Å) after each atom.
Space group P3m1 (No. 156)
Unique sites:
Cr  0.0000  0.0000  0.0000 [1 per cell]  3 Ni 2.37, 2 Cr 2.55
Ni  0.3333  0.6667  0.0028 [1 per cell]  3 Cr 2.37, 2 Ni 2.55
Os  0.6667  0.3333  0.5027 [1 per cell]  2 Os 2.55, 6 Cr 2.69, 6 Ni 2.69

---

Last place for stability: b

---

a:
Cr2NiOs2 | PBE | relaxed

abc: 7.0562 7.0562 2.7218
angles: 90.00 90.00 90.00
With the nearest neighbours (Å) after each atom.
Space group P4/mbm (No. 127)
Unique sites:
Cr  0.1362  0.3638  0.0000 [4 per cell]  6 Os 2.44-2.50, 3 Cr 2.72
Ni  0.0000  0.0000  0.0000 [2 per cell]  2 Ni 2.72, 4 Cr 2.74, 8 Os 2.98
Os  0.1604  0.6604  0.5000 [4 per cell]  6 Cr 2.44-2.50, 2 Os 2.72

---

b:
Cr2NiOs2 | PBE | relaxed

abc: 7.0703 7.0703 2.7392
angles: 90.00 90.00 90.00
With the nearest neighbours (Å) after each atom.
Space group P4/mbm (No. 127)
Unique sites:
Cr  0.1602  0.3398  0.0000 [4 per cell]  6 Os 2.44-2.52
Ni  0.0000  0.0000  0.5000 [2 per cell]  4 Os 2.74, 2 Ni 2.74, 8 Cr 2.99
Os  0.1384  0.6384  0.5000 [4 per cell]  6 Cr 2.44-2.52

---

Last place for stability: a

---

a:
CrNi4Os | PBE | relaxed

abc: 7.9372 3.6451 5.0599
angles: 90.00 108.52 90.00
With the nearest neighbours (Å) after each atom.
Space group C2/m (No. 12)
Unique sites:
Cr  0.0000  0.0000  0.0000 [2 per cell]  10 Ni 2.51-2.54, 2 Os 2.53
Ni  0.1662  0.5000  0.3303 [4 per cell]  7 Ni 2.50-2.57, 3 Os 2.51-2.55, 2 Cr 2.54
Ni  0.1661  0.5000  0.8352 [4 per cell]  7 Ni 2.50-2.56, 3 Cr 2.51-2.54, 2 Os 2.55
Os  0.0000  0.0000  0.5000 [2 per cell]  10 Ni 2.51-2.55, 2 Cr 2.53

---

b:
CrNi4Os | PBE | relaxed

abc: 6.5673 6.5673 6.5673
angles: 90.00 90.00 90.00
With the nearest neighbours (Å) after each atom.
Space group F-43m (No. 216)
Unique sites:
Cr  0.0000  0.0000  0.0000 [4 per cell]  12 Ni 2.72, 4 Os 2.84
Ni  0.1251  0.1251  0.6251 [16 per cell]  6 Ni 2.32
Os  0.2500  0.2500  0.2500 [4 per cell]  12 Ni 2.72, 4 Cr 2.84

---

Last place for stability: b

---

a:
CrTcNiOsPd | PBE | relaxed

abc: 2.6584 4.2629 12.0333
angles: 90.00 90.00 90.00
With the nearest neighbours (Å) after each atom.
Space group Imm2 (No. 44)
Unique sites:
Cr  0.0000  0.0000  0.0000 [2 per cell]  2 Ni 2.49, 2 Os 2.61, 2 Cr 2.66, 4 Tc 2.66, 2 Pd 2.75
Tc  0.0000  0.0000  0.4261 [2 per cell]  2 Os 2.53, 2 Ni 2.55, 2 Tc 2.66, 4 Cr 2.66
Ni  0.0000  0.5000  0.1072 [2 per cell]  1 Os 2.48, 2 Cr 2.49, 2 Tc 2.55, 2 Ni 2.66, 4 Pd 2.75
Os  0.0000  0.5000  0.3133 [2 per cell]  1 Ni 2.48, 2 Tc 2.53, 2 Cr 2.61, 2 Os 2.66
Pd  0.0000  0.5000  0.7005 [2 per cell]  2 Pd 2.66, 4 Ni 2.75, 2 Cr 2.75, 4 Os 2.86

---

b:
CrTcNiOsPd | PBE | relaxed

abc: 8.3524 3.7947 5.9232
angles: 90.00 134.30 90.00
With the nearest neighbours (Å) after each atom.
Space group Cm (No. 8)
Unique sites:
Cr  0.0000  0.0000  0.0000 [2 per cell]  3 Os 2.51-2.73, 3 Ni 2.61-2.72, 3 Pd 2.61-2.71, 3 Tc 2.65-2.66
Tc  0.1016  0.5000  0.8029 [2 per cell]  3 Os 2.60-2.70, 3 Ni 2.61-2.77, 3 Cr 2.65-2.66, 3 Pd 2.65-2.70
Ni  0.2818  0.5000  0.3824 [2 per cell]  3 Pd 2.61-2.76, 3 Cr 2.61-2.72, 3 Tc 2.61-2.77, 3 Os 2.63-2.70
Os  0.3775  0.0000  0.1860 [2 per cell]  3 Cr 2.51-2.73, 3 Tc 2.60-2.70, 3 Ni 2.63-2.70, 3 Pd 2.71-2.74
Pd  0.1968  0.0000  0.5879 [2 per cell]  3 Ni 2.61-2.76, 3 Cr 2.61-2.71, 3 Tc 2.65-2.70, 3 Os 2.71-2.74

---

Last place for stability: a